Entry 1:
VASP calculation (PBE) on an optimized crystal structure of KMg.

Values from the calculation:
E_tot (eV per formula unit): -1.85
Space-group type: I-43m, No. 217

Cell lengths 11.081, 11.081, 11.081 Å; angles 90.00, 90.00, 90.00 degrees
Positions (direct):
K  0.289  0.289  0.289
K  0.289  0.711  0.711
K  0.711  0.289  0.711
K  0.711  0.711  0.289
K  0.789  0.789  0.789
K  0.789  0.211  0.211
K  0.211  0.789  0.211
K  0.211  0.211  0.789
Mg  0.098  0.098  0.098
Mg  0.098  0.902  0.902
Mg  0.902  0.098  0.902
Mg  0.902  0.902  0.098
Mg  0.598  0.598  0.598
Mg  0.598  0.402  0.402
Mg  0.402  0.598  0.402
Mg  0.402  0.402  0.598

***

Entry 2:
VASP calculation (PBE) on an optimized crystal structure of Cs2Li2ThS4.

Values from the calculation:
Space-group type: C2/m, No. 12
Raw formation energy (eV per formula unit): -14.23

Cell lengths 4.266, 8.066, 7.991 Å; angles 108.40, 105.48, 90.00 degrees
Positions (direct):
Cs  0.141  0.568  0.282
Cs  0.859  0.432  0.718
Li  0.681  0.987  0.363
Li  0.319  0.013  0.637
Th  0.000  0.000  0.000
S  0.191  0.144  0.382
S  0.809  0.856  0.618
S  0.519  0.784  0.037
S  0.481  0.216  0.963

***

Entry 3:
VASP calculation (PBE) on an optimized crystal structure of Nd3Er4Tm4.

Values from the calculation:
Polymorph energy (0 for the lowest one) (meV per atom): 139.0
Space-group type: Amm2, No. 38

Cell lengths 5.661, 6.620, 10.521 Å; angles 90.00, 90.00, 115.31 degrees
Positions (direct):
Nd  0.408  0.815  0.292
Nd  0.408  0.815  0.708
Nd  0.255  0.510  0.000
Er  0.751  0.503  0.785
Er  0.751  0.503  0.215
Er  0.890  0.780  0.500
Er  0.956  0.913  0.000
Tm  0.617  0.233  0.500
Tm  0.557  0.113  0.000
Tm  0.103  0.206  0.705
Tm  0.103  0.206  0.295